Cr4OF11: relaxed, GGA+U.

Total magnetization, μB per atom: 0.688
Energy above the most stable polymorph in this dataset, kJ/mol of formula units: 0

Cell lengths 5.0926, 5.3304, 8.7391 Å; angles 74.78, 89.99, 118.52 degrees
Fractional coordinates of all 16 atoms:
Cr: 0.4955 0.9861 0.4925
Cr: 0.0004 0.0032 0.0016
Cr: 0.2592 0.5140 0.2574
Cr: 0.7473 0.4967 0.7484
O: 0.5020 0.7499 0.3750
F: 0.9940 0.7496 0.8752
F: 0.5625 0.7484 0.6832
F: 0.5640 0.7519 0.0668
F: 0.0094 0.2568 0.1278
F: 0.5030 0.2435 0.6221
F: 0.9344 0.2488 0.8148
F: 0.4354 0.2510 0.9351
F: 0.9337 0.2518 0.4358
F: 0.4319 0.2483 0.3141
F: 0.0622 0.7466 0.5619
F: 0.0652 0.7536 0.1883